{"formula": "Y2MgTa", "functional": "PBE", "state": "relaxed", "formation_energy_ev_per_atom": 0.341, "spacegroup": "P4/mmm", "lattice": [[-3.1975, -0.8523, 3.3362], [3.0313, -2.8611, 2.1744], [1.5676, 3.4780, 2.3909]], "species": ["Mg", "Ta", "Y", "Y"], "fractional_positions": [[0.5000, 0.0000, 0.5000], [0.0000, 0.5000, 0.5000], [0.5000, 0.5000, 0.0000], [0.0000, 0.0000, 0.0000]]}


{"formula": "LiPSeN2", "functional": "PBE", "state": "relaxed", "e_form_raw_ev_per_atom": 0.48, "relative_energy_ev_per_atom": 0.000, "spacegroup": "P4/mmm", "lattice": [[-3.2863, 0.2378, -0.5878], [-0.4135, -3.1558, 1.0353], [-0.8523, 1.9313, 5.5467]], "species": ["P", "N", "Se", "N", "Li"], "fractional_positions": [[0.0000, 0.0000, 0.0000], [0.0000, 0.5000, 0.0000], [0.0000, 0.0000, 0.5000], [0.5000, 0.0000, 0.0000], [0.5000, 0.5000, 0.5000]]}


How do the records compare in final energy? In the order shown, they have -6.25, -5.02 eV/atom.
How do the records compare in M_tot? In the order shown, they have 0.0, 0.2 μB per formula unit.